BiTe3Pb4 after structural relaxation. Source: Alexandria, functional PBE.

a b c (Å): 8.0291 9.2428 7.9701
angles (deg): 90.00 108.85 90.00
Closest atoms and distances in Å follow each position.
Sites, in units of the cell vectors:
Bi  0.0000  0.1292  0.2500  6 Pb 3.24-3.28
Bi  0.0000  0.8708  0.7500  6 Pb 3.24-3.28
Te  0.0000  0.3747  0.7500  6 Pb 3.25-3.28
Te  0.0000  0.6253  0.2500  6 Pb 3.25-3.28
Te  0.5000  0.1262  0.7500  6 Pb 3.26-3.29
Te  0.5000  0.3727  0.2500  6 Pb 3.26-3.33
Te  0.5000  0.6273  0.7500  6 Pb 3.26-3.33
Te  0.5000  0.8738  0.2500  6 Pb 3.26-3.29
Pb  0.2446  0.1201  0.9950  2 Bi 3.24-3.25, 4 Te 3.26-3.33
Pb  0.2446  0.8799  0.4950  2 Bi 3.24-3.25, 4 Te 3.26-3.33
Pb  0.2510  0.3783  0.5014  5 Te 3.25-3.29, 1 Bi 3.28
Pb  0.2510  0.6217  0.0014  5 Te 3.25-3.29, 1 Bi 3.28
Pb  0.7490  0.3783  0.9986  5 Te 3.25-3.29, 1 Bi 3.28
Pb  0.7490  0.6217  0.4986  5 Te 3.25-3.29, 1 Bi 3.28
Pb  0.7554  0.1201  0.5050  2 Bi 3.24-3.25, 4 Te 3.26-3.33
Pb  0.7554  0.8799  0.0050  2 Bi 3.24-3.25, 4 Te 3.26-3.33

The calculation puts the formation energy without anion corrections at -0.2291 eV per atom. As for the space group: P2/c. The calculated density is 8.4 g/cm³.

---

PaBe2Zn after structural relaxation. Source: Alexandria, functional PBE.

a b c (Å): 3.8271 3.8271 14.4522
angles (deg): 90.00 90.00 120.00
Closest atoms and distances in Å follow each position.
Sites, in units of the cell vectors:
Pa  0.0000  0.0000  0.0000  8 Be 2.90-2.94
Pa  0.3333  0.6667  0.6667  8 Be 2.90-2.94
Pa  0.6667  0.3333  0.3333  8 Be 2.90-2.94
Be  0.0000  0.0000  0.2034  3 Zn 2.27, 3 Be 2.45
Be  0.0000  0.0000  0.7966  3 Zn 2.27, 3 Be 2.45
Be  0.3333  0.6667  0.4633  3 Zn 2.27, 3 Be 2.45
Be  0.3333  0.6667  0.8701  3 Zn 2.27, 3 Be 2.45
Be  0.6667  0.3333  0.1299  3 Zn 2.27, 3 Be 2.45
Be  0.6667  0.3333  0.5367  3 Zn 2.27, 3 Be 2.45
Zn  0.0000  0.0000  0.5000  6 Be 2.27
Zn  0.3333  0.6667  0.1667  6 Be 2.27
Zn  0.6667  0.3333  0.8333  6 Be 2.27

As for the space group: R-3m. The calculated density is 8.5 g/cm³. For the formation energy, the calculation gives 0.07 eV per atom.

---

DyHoCuHg after structural relaxation. Source: Alexandria, functional PBE.

a b c (Å): 7.2048 7.2048 7.2048
angles (deg): 90.00 90.00 90.00
Closest atoms and distances in Å follow each position.
Sites, in units of the cell vectors:
Dy  0.0000  0.0000  0.0000  4 Hg 3.12, 4 Cu 3.12
Dy  0.0000  0.5000  0.5000  4 Hg 3.12, 4 Cu 3.12
Dy  0.5000  0.0000  0.5000  4 Hg 3.12, 4 Cu 3.12
Dy  0.5000  0.5000  0.0000  4 Hg 3.12, 4 Cu 3.12
Ho  0.0000  0.0000  0.5000  4 Cu 3.12, 4 Hg 3.12
Ho  0.0000  0.5000  0.0000  4 Cu 3.12, 4 Hg 3.12
Ho  0.5000  0.0000  0.0000  4 Cu 3.12, 4 Hg 3.12
Ho  0.5000  0.5000  0.5000  4 Cu 3.12, 4 Hg 3.12
Cu  0.2500  0.2500  0.7500  4 Dy 3.12, 4 Ho 3.12
Cu  0.2500  0.7500  0.2500  4 Dy 3.12, 4 Ho 3.12
Cu  0.7500  0.2500  0.2500  4 Dy 3.12, 4 Ho 3.12
Cu  0.7500  0.7500  0.7500  4 Dy 3.12, 4 Ho 3.12
Hg  0.2500  0.2500  0.2500  4 Ho 3.12, 4 Dy 3.12
Hg  0.2500  0.7500  0.7500  4 Ho 3.12, 4 Dy 3.12
Hg  0.7500  0.2500  0.7500  4 Ho 3.12, 4 Dy 3.12
Hg  0.7500  0.7500  0.2500  4 Ho 3.12, 4 Dy 3.12

As for the space group: F-43m. Its excess energy over the best structure of this formula in the dataset is 24.0 meV/atom. The calculated density is 10.5 g/cm³. For the formation energy, the calculation gives -0.34 eV per atom.

---

In2OsCBr after structural relaxation. Source: Alexandria, functional PBE.

a b c (Å): 5.5315 5.5315 3.7099
angles (deg): 90.00 90.00 90.00
Closest atoms and distances in Å follow each position.
Sites, in units of the cell vectors:
In  0.0000  0.5000  0.0000  2 Br 2.77
In  0.5000  0.0000  0.0000  2 Br 2.77
Os  0.0000  0.0000  0.5000  8 In 3.33, 2 Os 3.71
C  0.5000  0.5000  0.5000  2 Br 1.85
Br  0.5000  0.5000  0.0000  2 C 1.85

The calculation puts the formation energy without anion corrections at 2.2563 eV per atom. As for the space group: P4/mmm. The calculated density is 7.5 g/cm³.

---

Nd3SmHg12 after structural relaxation. Source: Alexandria, functional PBE.

a b c (Å): 4.6598 4.6598 19.1038
angles (deg): 90.00 90.00 90.00
Closest atoms and distances in Å follow each position.
Sites, in units of the cell vectors:
Nd  0.0000  0.0000  0.0000  12 Hg 3.29-3.34
Nd  0.0000  0.0000  0.2511  12 Hg 3.29-3.34
Nd  0.0000  0.0000  0.7489  12 Hg 3.29-3.34
Sm  0.0000  0.0000  0.5000  12 Hg 3.29-3.32
Hg  0.0000  0.5000  0.1256  8 Hg 3.29-3.34, 4 Nd 3.34
Hg  0.0000  0.5000  0.3764  8 Hg 3.29-3.34, 2 Sm 3.32, 2 Nd 3.34
Hg  0.0000  0.5000  0.6236  8 Hg 3.29-3.34, 2 Sm 3.32, 2 Nd 3.34
Hg  0.0000  0.5000  0.8744  8 Hg 3.29-3.34, 4 Nd 3.34
Hg  0.5000  0.0000  0.1256  8 Hg 3.29-3.34, 4 Nd 3.34
Hg  0.5000  0.0000  0.3764  8 Hg 3.29-3.34, 2 Sm 3.32, 2 Nd 3.34
Hg  0.5000  0.0000  0.6236  8 Hg 3.29-3.34, 2 Sm 3.32, 2 Nd 3.34
Hg  0.5000  0.0000  0.8744  8 Hg 3.29-3.34, 4 Nd 3.34
Hg  0.5000  0.5000  0.0000  4 Nd 3.29, 8 Hg 3.34
Hg  0.5000  0.5000  0.2511  4 Nd 3.29, 8 Hg 3.34
Hg  0.5000  0.5000  0.5000  4 Sm 3.29, 8 Hg 3.32
Hg  0.5000  0.5000  0.7489  4 Nd 3.29, 8 Hg 3.34

As for the space group: P4/mmm. The calculated density is 12.0 g/cm³. For the formation energy, the calculation gives -0.35 eV per atom.

---

Er3PuIr4 after structural relaxation. Source: Alexandria, functional PBE.

a b c (Å): 3.2544 4.9018 9.9009
angles (deg): 90.00 90.00 90.00
Closest atoms and distances in Å follow each position.
Sites, in units of the cell vectors:
Er  0.0000  0.0000  0.0000  8 Ir 2.94, 2 Er 3.25
Er  0.0000  0.5000  0.2474  8 Ir 2.94-2.98, 2 Er 3.25
Er  0.0000  0.5000  0.7526  8 Ir 2.94-2.98, 2 Er 3.25
Pu  0.0000  0.0000  0.5000  8 Ir 2.94-2.99, 2 Pu 3.25
Ir  0.5000  0.0000  0.2470  6 Er 2.94, 2 Pu 2.99, 2 Ir 3.25
Ir  0.5000  0.0000  0.7530  6 Er 2.94, 2 Pu 2.99, 2 Ir 3.25
Ir  0.5000  0.5000  0.0000  8 Er 2.94, 2 Ir 3.25
Ir  0.5000  0.5000  0.5000  4 Pu 2.94, 4 Er 2.98, 2 Ir 3.25

As for the space group: Pmmm. The calculated density is 15.9 g/cm³. For the formation energy, the calculation gives -0.74 eV per atom.